A plane-wave DFT calculation with PBE was carried out for a relaxed structure of NbP2HCl.

```
data_NbP2HCl
_cell_length_a 3.7464
_cell_length_b 3.7464
_cell_length_c 4.8475
_cell_angle_alpha 90.00
_cell_angle_beta 90.00
_cell_angle_gamma 90.00
_space_group_name_H-M_alt 'P 4/m m m'
_space_group_IT_number 123
_space_group_name_Hall '-P 4 2'
loop_
_atom_site_label
_atom_site_fract_x
_atom_site_fract_y
_atom_site_fract_z
Nb1 0.0000 0.0000 0.0000
P1 0.0000 0.5000 0.5000
H1 0.5000 0.5000 0.5000
Cl1 0.5000 0.5000 0.0000
```

Distance to the lowest polymorph of the same formula: 0 meV per atom
Fermi-level density of states: 2.6 states/eV/f.u.
Theoretical density: 4.669 g cm⁻³